# PBE K2YScSe4, relaxed
data_K2YScSe4
_chemical_formula_sum 'K2 Y1 Sc1 Se4'
_cell_length_a 7.131
_cell_length_b 4.119
_cell_length_c 8.012
_cell_angle_alpha 90.00
_cell_angle_beta 107.25
_cell_angle_gamma 90.00
_symmetry_space_group_name_H-M 'P 1 2/m 1'
_symmetry_Int_Tables_number 10
loop_
_symmetry_equiv_pos_as_xyz
'x,y,z'
'-x,-y,-z'
'-x,y,-z'
'x,-y,z'
loop_
_atom_site_label
_atom_site_type_symbol
_atom_site_fract_x
_atom_site_fract_y
_atom_site_fract_z
K1 K 0.000 0.000 0.000
K2 K 0.500 0.500 0.000
Y1 Y 0.000 0.500 0.500
Sc1 Sc 0.500 0.000 0.500
Se1 Se 0.245 0.000 0.703
Se2 Se 0.278 0.500 0.302
# Formation energy from raw total energies ... -1689.0 meV per atom
# Crystal system ... monoclinic
# Total moment ... 0.00 μB/f.u.